{
  "formula": "RbTcSb2",
  "functional": "GGA-PBE",
  "state": "relaxed",
  "lattice_angstrom": [[7.2179, 0.0000, 0.0000], [0.0000, 7.2179, 0.0000], [0.0000, 0.0000, 7.2179]],
  "species": ["Rb", "Rb", "Rb", "Rb", "Tc", "Tc", "Tc", "Tc", "Sb", "Sb", "Sb", "Sb", "Sb", "Sb", "Sb", "Sb"],
  "frac_coords": [[0.0000, 0.0000, 0.0000], [0.0000, 0.5000, 0.5000], [0.5000, 0.0000, 0.5000], [0.5000, 0.5000, 0.0000], [0.0000, 0.0000, 0.5000], [0.0000, 0.5000, 0.0000], [0.5000, 0.0000, 0.0000], [0.5000, 0.5000, 0.5000], [0.2500, 0.2500, 0.2500], [0.2500, 0.2500, 0.7500], [0.2500, 0.7500, 0.2500], [0.2500, 0.7500, 0.7500], [0.7500, 0.2500, 0.2500], [0.7500, 0.2500, 0.7500], [0.7500, 0.7500, 0.2500], [0.7500, 0.7500, 0.7500]],
  "e_above_lowest_polymorph_mev_per_atom": 745.5,
  "magnetic_moment_mub_per_fu": 0.00,
  "total_energy_ev_per_atom": -4.24
}